Below is a relaxed ScBeCr2Se crystal, with properties calculated at the GGA-PBE level.

Output
Crystal system = tetragonal
Calculated total energy = -29.5 eV/cell

```
ScBeCr2Se
1.0
4.042 0.000 0.000
0.000 4.042 0.000
0.000 0.000 4.627
Sc Be Cr Se
1 1 2 1
direct
0.000 0.000 0.000
0.500 0.500 0.500
0.000 0.500 0.500
0.500 0.000 0.500
0.500 0.500 0.000
```



Below is a relaxed BeCr2Se crystal, with properties calculated at the GGA-PBE level.

Output
Polymorph energy (0 for the lowest one) = 152 meV/atom
Crystal system = orthorhombic
Calculated total energy = -25.4 eV/cell

```
BeCr2Se
1.0
-1.790 1.802 3.922
1.790 -1.802 3.922
1.790 1.802 -3.922
Be Cr Se
1 2 1
direct
0.000 0.000 0.000
0.250 0.750 0.500
0.500 0.500 0.000
0.750 0.250 0.500
```



Below is a relaxed BeCr2Se crystal, with properties calculated at the GGA-PBE level.

Output
Polymorph energy (0 for the lowest one) = 185 meV/atom
Crystal system = orthorhombic
Calculated total energy = -25.3 eV/cell

```
BeCr2Se
1.0
3.560 0.000 0.000
0.000 3.760 0.000
0.000 0.000 3.903
Be Cr Se
1 2 1
direct
0.000 0.000 0.000
0.000 0.500 0.500
0.500 0.500 0.000
0.500 0.000 0.500
```



Below is a relaxed Be2CrSe crystal, with properties calculated at the GGA-PBE level.

Output
Crystal system = cubic
Calculated total energy = -18.3 eV/cell

```
Be2CrSe
1.0
0.000 2.931 2.931
2.931 0.000 2.931
2.931 2.931 0.000
Be Cr Se
2 1 1
direct
0.000 0.000 0.000
0.250 0.250 0.250
0.750 0.750 0.750
0.500 0.500 0.500
```